VASP calculation (PBE) on an optimized crystal structure of NaBPtPb.

Lattice parameters (Å, degrees): 4.616 4.616 4.616 60.00 60.00 60.00
Positions (direct):
B 0.250 0.250 0.250
Na 0.750 0.750 0.750
Pb 0.000 0.000 0.000
Pt 0.500 0.500 0.500

Values from the calculation:
**Energy**: -3.67 eV/atom
**Polymorph energy (0 for the lowest one)**: 115.9 meV per atom

***

VASP calculation (PBE) on an optimized crystal structure of NaBPtPb.

Lattice parameters (Å, degrees): 4.606 4.606 4.606 60.00 60.00 60.00
Positions (direct):
B 0.500 0.500 0.500
Na 0.750 0.750 0.750
Pb 0.000 0.000 0.000
Pt 0.250 0.250 0.250

Values from the calculation:
**Energy**: -3.79 eV/atom
**Polymorph energy (0 for the lowest one)**: 0.0 meV per atom